Compound: Rb2GeOsI6
Source: the Alexandria database
Functional: PBE
Structure: optimized geometry

Lattice parameters (Å, degrees): 8.141 8.141 8.143 60.01 60.01 90.00
Fractional coordinates of all 10 atoms:
I 0.238 0.238 0.524
I 0.762 0.762 0.476
I 0.238 0.238 0.000
I 0.762 0.762 0.000
I 0.762 0.238 0.000
I 0.238 0.762 0.000
Ge 0.500 0.500 0.000
Os 0.000 0.000 0.000
Rb 0.750 0.250 0.500
Rb 0.250 0.750 0.500

Calculated values
Uncorrected energy ... -31.167 eV/cell
Magnetization ... 0.000 μB/atom
Formation energy without anion corrections ... -0.4084 eV/atom


Compound: Be4Co3Au
Source: the Alexandria database
Functional: PBE
Structure: optimized geometry

Lattice parameters (Å, degrees): 2.711 2.711 10.630 90.00 90.00 90.00
Each line ends with the local moment (μB).
Fractional coordinates of all 8 atoms:
Be 0.000 0.000 0.837  0.00
Be 0.000 0.000 0.163  0.00
Be 0.000 0.000 0.383  -0.01
Be 0.000 0.000 0.617  -0.01
Co 0.500 0.500 0.265  0.09
Co 0.500 0.500 0.500  0.39
Co 0.500 0.500 0.735  0.09
Au 0.500 0.500 0.000  0.00

Calculated values
Uncorrected energy ... -41.591 eV/cell
Magnetization ... 0.065 μB/atom
ΔE_f ... -0.26 eV/atom


Compound: SmFe12
Source: the Alexandria database
Functional: PBE
Structure: optimized geometry

Lattice parameters (Å, degrees): 6.699 6.699 6.699 96.02 96.02 142.22
Each line ends with the local moment (μB).
Fractional coordinates of all 13 atoms:
Sm 0.000 0.000 0.000  -0.25
Fe 0.263 0.500 0.763  2.55
Fe 0.500 0.263 0.763  2.55
Fe 0.737 0.500 0.237  2.55
Fe 0.500 0.737 0.237  2.55
Fe 0.225 0.225 0.451  2.17
Fe 0.775 0.225 0.000  2.17
Fe 0.775 0.775 0.549  2.17
Fe 0.225 0.775 0.000  2.17
Fe 0.366 0.000 0.366  2.44
Fe 0.000 0.366 0.366  2.44
Fe 0.634 0.000 0.634  2.44
Fe 0.000 0.634 0.634  2.44

Calculated values
Uncorrected energy ... -102.828 eV/cell
Magnetization ... 2.160 μB/atom
ΔE_f ... 0.26 eV/atom
Polymorph energy (0 for the lowest one) ... 0.247 eV per atom


Compound: TcPPb
Source: the Alexandria database
Functional: PBE
Structure: optimized geometry

Lattice parameters (Å, degrees): 4.247 4.247 6.972 90.00 90.00 90.00
Fractional coordinates of all 6 atoms:
P 0.500 0.000 0.653
P 0.000 0.500 0.347
Pb 0.500 0.000 0.172
Pb 0.000 0.500 0.828
Tc 0.500 0.500 0.500
Tc 0.000 0.000 0.500

Calculated values
Uncorrected energy ... -40.138 eV/cell
Magnetization ... 0.000 μB/atom
ΔE_f ... -0.19 eV/atom
Polymorph energy (0 for the lowest one) ... 0.000 eV per atom


Compound: Ba6CaNb2IrCl2O12
Source: the Alexandria database
Functional: PBE
Structure: optimized geometry

Lattice parameters (Å, degrees): 6.095 6.095 15.982 79.96 79.96 59.76
Each line ends with the local moment (μB).
Fractional coordinates of all 24 atoms:
Ba 0.143 0.143 0.613  0.07
Ba 0.297 0.297 0.206  0.00
Ba 0.586 0.586 0.355  0.00
Ba 0.668 0.668 0.081  0.00
Ba 0.374 0.374 0.952  0.00
Ba 0.753 0.753 0.802  0.02
Ca 0.449 0.449 0.694  0.02
Nb 0.970 0.970 0.185  0.00
Nb 0.074 0.074 0.834  0.04
Ir 0.027 0.027 0.002  0.00
Cl 0.636 0.636 0.550  0.02
Cl 0.235 0.235 0.408  0.00
O 0.697 0.152 0.086  0.00
O 0.793 0.280 0.238  0.00
O 0.787 0.251 0.761  0.00
O 0.280 0.793 0.238  0.00
O 0.793 0.793 0.239  0.00
O 0.363 0.899 0.918  0.00
O 0.247 0.247 0.756  0.00
O 0.899 0.363 0.918  0.00
O 0.895 0.895 0.919  0.00
O 0.152 0.697 0.086  0.00
O 0.251 0.787 0.761  0.00
O 0.153 0.153 0.085  0.00

Calculated values
Uncorrected energy ... -164.648 eV/cell
Magnetization ... 0.027 μB/atom
Polymorph energy (0 for the lowest one) ... 0.034 eV per atom
Formation energy without anion corrections ... -2.4549 eV/atom


Compound: Cu2Ni5Ge
Source: the Alexandria database
Functional: PBE
Structure: optimized geometry

Lattice parameters (Å, degrees): 2.515 7.394 6.404 125.26 101.33 90.00
Each line ends with the local moment (μB).
Fractional coordinates of all 8 atoms:
Cu 0.235 0.735 0.471  0.01
Cu 0.765 0.265 0.529  0.01
Ni 0.000 0.500 0.000  0.46
Ni 0.622 0.375 0.243  0.19
Ni 0.378 0.625 0.757  0.19
Ni 0.622 0.868 0.243  0.19
Ni 0.378 0.132 0.757  0.19
Ge 0.000 0.000 0.000  0.00

Calculated values
Uncorrected energy ... -41.078 eV/cell
Magnetization ... 0.145 μB/atom
ΔE_f ... 0.08 eV/atom
Polymorph energy (0 for the lowest one) ... 0.028 eV per atom


Compound: SmHPb
Source: the Alexandria database
Functional: PBE
Structure: optimized geometry

Lattice parameters (Å, degrees): 3.745 3.744 11.797 99.02 80.87 59.98
Fractional coordinates of all 6 atoms:
Sm 0.799 0.034 0.367
Sm 0.201 0.966 0.633
H 0.596 0.237 0.571
H 0.404 0.763 0.429
Pb 0.362 0.141 0.136
Pb 0.638 0.859 0.864

Calculated values
Uncorrected energy ... -25.774 eV/cell
Magnetization ... 0.000 μB/atom
Polymorph energy (0 for the lowest one) ... 0.163 eV per atom


Compound: BaCaNdNbO6
Source: the Alexandria database
Functional: PBE
Structure: optimized geometry

Lattice parameters (Å, degrees): 5.977 5.991 8.584 89.90 89.96 90.20
Fractional coordinates of all 20 atoms:
Ba 0.012 0.019 0.750
Ba 0.988 0.981 0.250
Ca 0.513 0.521 0.749
Ca 0.487 0.479 0.251
Nd 0.500 0.000 0.000
Nd 0.000 0.500 0.500
Nb 0.000 0.500 0.000
Nb 0.500 0.000 0.500
O 0.824 0.216 0.010
O 0.671 0.715 0.439
O 0.176 0.784 0.990
O 0.329 0.285 0.561
O 0.716 0.673 0.062
O 0.785 0.176 0.498
O 0.284 0.327 0.938
O 0.215 0.824 0.502
O 0.542 0.919 0.731
O 0.911 0.528 0.769
O 0.458 0.081 0.269
O 0.089 0.472 0.231

Calculated values
Uncorrected energy ... -155.759 eV/cell
Magnetization ... 0.000 μB/atom
Polymorph energy (0 for the lowest one) ... 0.000 eV per atom
Formation energy without anion corrections ... -2.9368 eV/atom


Compound: MgCo2Ir
Source: the Alexandria database
Functional: PBE
Structure: optimized geometry

Lattice parameters (Å, degrees): 4.280 4.280 2.865 90.00 90.00 90.00
Each line ends with the local moment (μB).
Fractional coordinates of all 4 atoms:
Co 0.000 0.000 0.000  1.38
Co 0.500 0.500 0.000  1.38
Ir 0.500 0.000 0.500  0.55
Mg 0.000 0.500 0.500  -0.03

Calculated values
Uncorrected energy ... -24.528 eV/cell
Magnetization ... 0.790 μB/atom
ΔE_f ... 0.03 eV/atom


Compound: PuNbRu
Source: the Alexandria database
Functional: PBE
Structure: optimized geometry

Lattice parameters (Å, degrees): 2.945 4.588 4.588 120.00 90.00 90.00
Each line ends with the local moment (μB).
Fractional coordinates of all 3 atoms:
Ru 0.367 0.333 0.667  -0.17
Nb 0.960 0.000 0.000  0.01
Pu 0.673 0.667 0.333  4.79

Calculated values
Uncorrected energy ... -33.529 eV/cell
Magnetization ... 1.552 μB/atom
ΔE_f ... 0.05 eV/atom
Polymorph energy (0 for the lowest one) ... 0.000 eV per atom


Compound: LiMnCo2
Source: the Alexandria database
Functional: PBE
Structure: optimized geometry

Lattice parameters (Å, degrees): 2.462 2.462 8.275 90.00 90.00 110.75
Each line ends with the local moment (μB).
Fractional coordinates of all 4 atoms:
Co 0.000 0.000 0.989  1.59
Co 0.000 0.000 0.511  1.59
Li 0.500 0.500 0.250  -0.05
Mn 0.500 0.500 0.750  2.20

Calculated values
Uncorrected energy ... -24.645 eV/cell
Magnetization ... 1.325 μB/atom
ΔE_f ... 0.16 eV/atom
Polymorph energy (0 for the lowest one) ... 0.016 eV per atom


Compound: PaAlCrS6
Source: the Alexandria database
Functional: PBE
Structure: optimized geometry

Lattice parameters (Å, degrees): 5.715 6.154 6.154 120.00 90.00 90.00
Each line ends with the local moment (μB).
Fractional coordinates of all 9 atoms:
Pa 0.000 0.333 0.667  0.13
Al 0.500 0.000 0.000  0.01
Cr 0.500 0.667 0.333  2.42
S 0.732 0.686 0.661  -0.09
S 0.732 0.339 0.024  -0.09
S 0.732 0.976 0.314  -0.09
S 0.268 0.339 0.314  -0.09
S 0.268 0.686 0.024  -0.09
S 0.268 0.976 0.661  -0.09

Calculated values
Uncorrected energy ... -55.947 eV/cell
Magnetization ... 0.223 μB/atom
Formation energy without anion corrections ... -0.9245 eV/atom


Compound: AcDyGePb
Source: the Alexandria database
Functional: PBE
Structure: optimized geometry

Lattice parameters (Å, degrees): 5.511 5.511 5.511 60.00 60.00 60.00
Fractional coordinates of all 4 atoms:
Pb 0.750 0.750 0.750
Ac 0.000 0.000 0.000
Ge 0.250 0.250 0.250
Dy 0.500 0.500 0.500

Calculated values
Uncorrected energy ... -18.641 eV/cell
Magnetization ... 0.000 μB/atom
ΔE_f ... -0.40 eV/atom


Compound: Tm6Mg5Tl
Source: the Alexandria database
Functional: PBE
Structure: optimized geometry

Lattice parameters (Å, degrees): 6.001 10.792 7.500 43.99 82.30 79.27
Fractional coordinates of all 12 atoms:
Tm 0.754 0.080 0.331
Tm 0.246 0.589 0.331
Tm 0.255 0.244 0.000
Tm 0.745 0.756 0.000
Tm 0.754 0.411 0.669
Tm 0.246 0.920 0.669
Mg 0.500 0.177 0.646
Mg 0.000 0.341 0.318
Mg 0.500 0.500 0.000
Mg 0.000 0.659 0.682
Mg 0.500 0.823 0.354
Tl 0.000 0.000 0.000

Calculated values
Uncorrected energy ... -37.409 eV/cell
Magnetization ... 0.000 μB/atom
ΔE_f ... -0.02 eV/atom
Polymorph energy (0 for the lowest one) ... 0.096 eV per atom


Compound: RbNbSe2N
Source: the Alexandria database
Functional: PBE
Structure: optimized geometry

Lattice parameters (Å, degrees): 5.312 5.312 4.072 90.00 90.00 90.00
Each line ends with the local moment (μB).
Fractional coordinates of all 5 atoms:
Nb 0.000 0.000 0.000  -0.15
Se 0.000 0.500 0.000  0.18
Se 0.500 0.000 0.000  0.18
Rb 0.500 0.500 0.500  0.01
N 0.000 0.000 0.500  0.37

Calculated values
Uncorrected energy ... -28.473 eV/cell
Magnetization ... 0.187 μB/atom
Polymorph energy (0 for the lowest one) ... 0.000 eV per atom
Formation energy without anion corrections ... -0.4282 eV/atom


Compound: LiSnPd3
Source: the Alexandria database
Functional: PBE
Structure: optimized geometry

Lattice parameters (Å, degrees): 4.323 4.323 4.323 90.00 90.00 90.00
Fractional coordinates of all 5 atoms:
Sn 0.500 0.500 0.500
Pd 0.000 0.500 0.000
Pd 0.000 0.000 0.500
Pd 0.500 0.000 0.000
Li 0.000 0.000 0.000

Calculated values
Uncorrected energy ... -21.758 eV/cell
Magnetization ... 0.000 μB/atom
ΔE_f ... -0.05 eV/atom
Polymorph energy (0 for the lowest one) ... 0.498 eV per atom


Compound: La5Ga2N
Source: the Alexandria database
Functional: PBE
Structure: optimized geometry

Lattice parameters (Å, degrees): 5.885 7.846 11.509 90.00 90.00 112.03
Fractional coordinates of all 16 atoms:
La 0.932 0.863 0.894
La 0.932 0.863 0.606
La 0.306 0.613 0.406
La 0.306 0.613 0.094
La 0.662 0.324 0.250
La 0.338 0.676 0.750
La 0.694 0.387 0.594
La 0.694 0.387 0.906
La 0.068 0.137 0.106
La 0.068 0.137 0.394
Ga 0.853 0.706 0.361
Ga 0.853 0.706 0.139
Ga 0.147 0.294 0.639
Ga 0.147 0.294 0.861
N 0.816 0.631 0.750
N 0.184 0.369 0.250

Calculated values
Uncorrected energy ... -84.598 eV/cell
Magnetization ... 0.000 μB/atom
Formation energy without anion corrections ... -0.4103 eV/atom


Compound: ZrU3P4
Source: the Alexandria database
Functional: PBE
Structure: optimized geometry

Lattice parameters (Å, degrees): 6.721 6.749 7.753 90.00 90.00 109.47
Each line ends with the local moment (μB).
Fractional coordinates of all 16 atoms:
P 0.995 0.245 0.630  -0.06
P 0.499 0.243 0.879  -0.05
P 0.495 0.245 0.370  -0.06
P 0.999 0.243 0.121  -0.05
P 0.001 0.757 0.879  -0.05
P 0.505 0.755 0.630  -0.06
P 0.501 0.757 0.121  -0.05
P 0.005 0.755 0.370  -0.06
U 0.750 0.000 0.373  1.83
U 0.250 0.000 0.627  1.83
U 0.750 0.500 0.626  1.98
U 0.750 0.500 0.124  1.89
U 0.250 0.500 0.374  1.98
U 0.250 0.500 0.876  1.89
Zr 0.750 0.000 0.877  -0.02
Zr 0.250 0.000 0.123  -0.02

Calculated values
Uncorrected energy ... -145.620 eV/cell
Magnetization ... 0.783 μB/atom
ΔE_f ... -1.09 eV/atom


Compound: NaMnPAu
Source: the Alexandria database
Functional: PBE
Structure: optimized geometry

Lattice parameters (Å, degrees): 3.804 3.804 10.575 90.00 90.00 90.00
Each line ends with the local moment (μB).
Fractional coordinates of all 8 atoms:
Na 0.750 0.750 0.263  0.00
Na 0.250 0.250 0.737  0.00
Mn 0.750 0.250 0.000  1.79
Mn 0.250 0.750 0.000  1.79
P 0.750 0.750 0.881  -0.09
P 0.250 0.250 0.119  -0.09
Au 0.250 0.750 0.500  0.00
Au 0.750 0.250 0.500  0.00

Calculated values
Uncorrected energy ... -41.210 eV/cell
Magnetization ... 0.430 μB/atom
ΔE_f ... -0.36 eV/atom


Compound: ScTiPS2
Source: the Alexandria database
Functional: PBE
Structure: optimized geometry

Lattice parameters (Å, degrees): 4.589 4.589 4.819 90.00 90.00 90.00
Fractional coordinates of all 5 atoms:
Sc 0.500 0.500 0.500
P 0.000 0.000 0.500
S 0.000 0.500 0.000
S 0.500 0.000 0.000
Ti 0.000 0.000 0.000

Calculated values
Uncorrected energy ... -31.168 eV/cell
Magnetization ... 0.000 μB/atom
Polymorph energy (0 for the lowest one) ... 0.000 eV per atom
Formation energy without anion corrections ... -0.6554 eV/atom


Compound: AlRuPt2
Source: the Alexandria database
Functional: PBE
Structure: optimized geometry

Lattice parameters (Å, degrees): 4.760 4.760 4.658 78.32 78.32 35.06
Fractional coordinates of all 4 atoms:
Ru 0.750 0.750 0.750
Al 0.250 0.250 0.250
Pt 0.995 0.995 0.999
Pt 0.505 0.505 0.501

Calculated values
Uncorrected energy ... -26.619 eV/cell
Magnetization ... 0.000 μB/atom
ΔE_f ... -0.38 eV/atom


Compound: Ta2CdPb
Source: the Alexandria database
Functional: PBE
Structure: optimized geometry

Lattice parameters (Å, degrees): 4.187 4.187 4.628 90.00 90.00 90.00
Fractional coordinates of all 4 atoms:
Pb 0.000 0.500 0.500
Cd 0.500 0.000 0.500
Ta 0.000 0.000 0.000
Ta 0.500 0.500 0.000

Calculated values
Uncorrected energy ... -26.272 eV/cell
Magnetization ... 0.000 μB/atom
ΔE_f ... 0.51 eV/atom


Compound: Na8Cd3In2
Source: the Alexandria database
Functional: PBE
Structure: optimized geometry

Lattice parameters (Å, degrees): 5.992 8.296 8.296 87.88 72.92 72.92
Fractional coordinates of all 13 atoms:
Na 0.213 0.563 0.563
Na 0.787 0.437 0.437
Na 0.933 0.142 0.142
Na 0.067 0.858 0.858
Na 0.656 0.588 0.085
Na 0.656 0.085 0.588
Na 0.344 0.915 0.412
Na 0.344 0.412 0.915
Cd 0.500 0.000 0.000
Cd 0.000 0.261 0.739
Cd 0.000 0.739 0.261
In 0.357 0.279 0.279
In 0.643 0.721 0.721

Calculated values
Uncorrected energy ... -19.111 eV/cell
Magnetization ... 0.000 μB/atom
ΔE_f ... -0.03 eV/atom


Compound: CaV2ZnRh
Source: the Alexandria database
Functional: PBE
Structure: optimized geometry

Lattice parameters (Å, degrees): 4.724 5.389 4.724 90.00 90.00 90.00
Each line ends with the local moment (μB).
Fractional coordinates of all 5 atoms:
Zn 0.500 0.500 0.500  -0.01
Rh 0.000 0.000 0.000  -0.17
Ca 0.000 0.500 0.000  0.02
V 0.000 0.000 0.500  1.69
V 0.500 0.000 0.000  2.60

Calculated values
Uncorrected energy ... -25.476 eV/cell
Magnetization ... 1.011 μB/atom
ΔE_f ... 0.68 eV/atom